[1]
# PBE ZnSnSbTe2, optimized geometry
# - DOS at the Fermi energy: 0.8363 states/eV per atom
# - Polymorph energy (0 for the lowest one): 0.000 eV/atom
# - Electronic total energy: -2.811 eV/atom
# - Formation energy from raw total energies: 0.325 eV/atom
data_ZnSnSbTe2
_chemical_formula_sum 'Zn1 Sn1 Sb1 Te2'
_symmetry_space_group_name_H-M 'P 4/m m m'
_symmetry_Int_Tables_number 123
_symmetry_space_group_name_Hall '-P 4 2'
_cell_length_a 5.398
_cell_length_b 5.398
_cell_length_c 5.154
_cell_angle_alpha 90.00
_cell_angle_beta 90.00
_cell_angle_gamma 90.00
loop_
_atom_site_label
_atom_site_type_symbol
_atom_site_fract_x
_atom_site_fract_y
_atom_site_fract_z
_atom_site_occupancy
Zn1 Zn 0.000 0.000 0.000 1
Sn1 Sn 0.500 0.500 0.500 1
Sb1 Sb 0.000 0.000 0.500 1
Te1 Te 0.000 0.500 0.000 1


[2]
# PBE SmNbSe, optimized geometry
# - DOS at the Fermi energy: 0.4748 states/eV per atom
# - Electronic total energy: -6.999 eV/atom
# - Formation energy from raw total energies: -0.908 eV/atom
data_SmNbSe
_chemical_formula_sum 'Sm2 Nb2 Se2'
_symmetry_space_group_name_H-M 'P 4/n m m'
_symmetry_Int_Tables_number 129
_cell_length_a 3.963
_cell_length_b 3.963
_cell_length_c 9.045
_cell_angle_alpha 90.00
_cell_angle_beta 90.00
_cell_angle_gamma 90.00
loop_
_symmetry_equiv_pos_as_xyz
'x,y,z'
'-x,-y,-z'
'-y+1/2,x,z'
'y+1/2,-x,-z'
'-x+1/2,-y+1/2,z'
'x+1/2,y+1/2,-z'
'y,-x+1/2,z'
'-y,x+1/2,-z'
'x+1/2,-y,-z'
'-x+1/2,y,z'
'-y,-x,-z'
'y,x,z'
'-x,y+1/2,-z'
'x,-y+1/2,z'
'y+1/2,x+1/2,-z'
'-y+1/2,-x+1/2,z'
loop_
_atom_site_label
_atom_site_type_symbol
_atom_site_fract_x
_atom_site_fract_y
_atom_site_fract_z
_atom_site_occupancy
Sm1 Sm 0.250 0.250 0.204 1
Nb1 Nb 0.250 0.250 0.552 1
Se1 Se 0.250 0.250 0.857 1


[3]
# PBE SrP2RuO8, optimized geometry
# - DOS at the Fermi energy: 0.5226 states/eV per atom
# - Electronic total energy: -7.064 eV/atom
# - Formation energy from raw total energies: -1.944 eV/atom
data_SrP2RuO8
_chemical_formula_sum 'Sr3 P6 Ru3 O24'
_symmetry_space_group_name_H-M 'R 3 2'
_symmetry_Int_Tables_number 155
_symmetry_space_group_name_Hall 'R 3 2"'
_cell_length_a 4.8522
_cell_length_b 4.8522
_cell_length_c 23.2577
_cell_angle_alpha 90.00
_cell_angle_beta 90.00
_cell_angle_gamma 120.00
loop_
_atom_site_label
_atom_site_type_symbol
_atom_site_fract_x
_atom_site_fract_y
_atom_site_fract_z
_atom_site_occupancy
Sr1 Sr 0.0000 0.0000 0.0000 1
P1 P 0.0000 0.0000 0.2444 1
Ru1 Ru 0.0000 0.0000 0.5000 1
O1 O 0.0000 0.0000 0.3102 1
O2 O 0.0069 0.3916 0.8902 1


[4]
# PBE BaIN2Cl, optimized geometry
# - DOS at the Fermi energy: 0.3987 states/eV per atom
# - Polymorph energy (0 for the lowest one): 0.000 eV/atom
# - Electronic total energy: -3.248 eV/atom
# - Formation energy from raw total energies: 1.146 eV/atom
data_BaIN2Cl
_chemical_formula_sum 'Ba1 I1 N2 Cl1'
_symmetry_space_group_name_H-M 'P 4/m m m'
_symmetry_Int_Tables_number 123
_symmetry_space_group_name_Hall '-P 4 2'
_cell_length_a 5.451
_cell_length_b 5.451
_cell_length_c 6.846
_cell_angle_alpha 90.00
_cell_angle_beta 90.00
_cell_angle_gamma 90.00
loop_
_atom_site_label
_atom_site_type_symbol
_atom_site_fract_x
_atom_site_fract_y
_atom_site_fract_z
_atom_site_occupancy
Ba1 Ba 0.000 0.000 0.000 1
I1 I 0.000 0.000 0.500 1
N1 N 0.000 0.500 0.000 1
Cl1 Cl 0.500 0.500 0.500 1


[5]
# PBE ThU5S6, optimized geometry
# - DOS at the Fermi energy: 2.0905 states/eV per atom
# - Electronic total energy: -8.827 eV/atom
# - Formation energy from raw total energies: -1.442 eV/atom
data_ThU5S6
_chemical_formula_sum 'Th2 U10 S12'
_symmetry_space_group_name_H-M 'C 1 2/m 1'
_symmetry_Int_Tables_number 12
_cell_length_a 6.731
_cell_length_b 11.773
_cell_length_c 6.748
_cell_angle_alpha 90.00
_cell_angle_beta 109.88
_cell_angle_gamma 90.00
loop_
_symmetry_equiv_pos_as_xyz
'x,y,z'
'-x,-y,-z'
'-x,y,-z'
'x,-y,z'
'x+1/2,y+1/2,z'
'-x+1/2,-y+1/2,-z'
'-x+1/2,y+1/2,-z'
'x+1/2,-y+1/2,z'
loop_
_atom_site_label
_atom_site_type_symbol
_atom_site_fract_x
_atom_site_fract_y
_atom_site_fract_z
_atom_site_occupancy
Th1 Th 0.000 0.000 0.000 1
U1 U 0.000 0.163 0.500 1
U2 U 0.000 0.332 0.000 1
U3 U 0.000 0.500 0.500 1
S1 S 0.241 0.500 0.251 1
S2 S 0.243 0.329 0.743 1


[6]
# PBE TeP2Os, optimized geometry
# - DOS at the Fermi energy: 0.7765 states/eV per atom
# - Polymorph energy (0 for the lowest one): 1.035 eV/atom
# - Electronic total energy: -5.230 eV/atom
# - Formation energy from raw total energies: 1.068 eV/atom
data_TeP2Os
_chemical_formula_sum 'Te1 P2 Os1'
_symmetry_space_group_name_H-M 'P 4/m m m'
_symmetry_Int_Tables_number 123
_symmetry_space_group_name_Hall '-P 4 2'
_cell_length_a 3.840
_cell_length_b 3.840
_cell_length_c 4.717
_cell_angle_alpha 90.00
_cell_angle_beta 90.00
_cell_angle_gamma 90.00
loop_
_atom_site_label
_atom_site_type_symbol
_atom_site_fract_x
_atom_site_fract_y
_atom_site_fract_z
_atom_site_occupancy
Te1 Te 0.000 0.000 0.000 1
P1 P 0.000 0.500 0.500 1
Os1 Os 0.500 0.500 0.000 1


[7]
# PBE YMgZn2, optimized geometry
# - DOS at the Fermi energy: 0.5240 states/eV per atom
# - ΔH_f (0 K): -23.0 kJ/mol of atoms
# - Electronic total energy: -2.890 eV/atom
data_YMgZn2
_chemical_formula_sum 'Y2 Mg2 Zn4'
_symmetry_space_group_name_H-M 'A m m 2'
_symmetry_Int_Tables_number 38
_cell_length_a 4.436
_cell_length_b 3.625
_cell_length_c 10.596
_cell_angle_alpha 90.00
_cell_angle_beta 90.00
_cell_angle_gamma 90.00
loop_
_symmetry_equiv_pos_as_xyz
'x,y,z'
'-x,-y,z'
'-x,y,z'
'x,-y,z'
'x,y+1/2,z+1/2'
'-x,-y+1/2,z+1/2'
'-x,y+1/2,z+1/2'
'x,-y+1/2,z+1/2'
loop_
_atom_site_label
_atom_site_type_symbol
_atom_site_fract_x
_atom_site_fract_y
_atom_site_fract_z
_atom_site_occupancy
Y1 Y 0.000 0.000 0.000 1
Mg1 Mg 0.500 0.000 0.301 1
Zn1 Zn 0.000 0.000 0.721 1
Zn2 Zn 0.500 0.000 0.588 1


[8]
# PBE CsPdBr3, optimized geometry
# - DOS at the Fermi energy: 0.2560 states/eV per atom
# - Electronic total energy: -3.122 eV/atom
# - Formation energy from raw total energies: -0.909 eV/atom
data_CsPdBr3
_chemical_formula_sum 'Cs1 Pd1 Br3'
_symmetry_space_group_name_H-M 'P m -3 m'
_symmetry_Int_Tables_number 221
_symmetry_space_group_name_Hall '-P 4 2 3'
_cell_length_a 5.330
_cell_length_b 5.330
_cell_length_c 5.330
_cell_angle_alpha 90.00
_cell_angle_beta 90.00
_cell_angle_gamma 90.00
loop_
_atom_site_label
_atom_site_type_symbol
_atom_site_fract_x
_atom_site_fract_y
_atom_site_fract_z
_atom_site_occupancy
Cs1 Cs 0.000 0.000 0.000 1
Pd1 Pd 0.500 0.500 0.500 1
Br1 Br 0.000 0.500 0.500 1


Question: What is the formula in the third record?
Answer: SrP2RuO8


Please write out number 3 again, unchanged.
# PBE SrP2RuO8, optimized geometry
# - DOS at the Fermi energy: 0.5226 states/eV per atom
# - Electronic total energy: -7.064 eV/atom
# - Formation energy from raw total energies: -1.944 eV/atom
data_SrP2RuO8
_chemical_formula_sum 'Sr3 P6 Ru3 O24'
_symmetry_space_group_name_H-M 'R 3 2'
_symmetry_Int_Tables_number 155
_symmetry_space_group_name_Hall 'R 3 2"'
_cell_length_a 4.8522
_cell_length_b 4.8522
_cell_length_c 23.2577
_cell_angle_alpha 90.00
_cell_angle_beta 90.00
_cell_angle_gamma 120.00
loop_
_atom_site_label
_atom_site_type_symbol
_atom_site_fract_x
_atom_site_fract_y
_atom_site_fract_z
_atom_site_occupancy
Sr1 Sr 0.0000 0.0000 0.0000 1
P1 P 0.0000 0.0000 0.2444 1
Ru1 Ru 0.0000 0.0000 0.5000 1
O1 O 0.0000 0.0000 0.3102 1
O2 O 0.0069 0.3916 0.8902 1